1.
# LaInRh4 PBE optimized geometry
# Total magnetization ... 0.000 μB/atom
# ΔH_f (0 K) ... -0.424 eV/atom
data_LaInRh4
_cell_length_a 5.370
_cell_length_b 5.370
_cell_length_c 5.370
_cell_angle_alpha 60.00
_cell_angle_beta 60.00
_cell_angle_gamma 60.00
_symmetry_space_group_name_H-M 'P 1'
_symmetry_Int_Tables_number 1
loop_
_symmetry_equiv_pos_as_xyz
'x,y,z'
loop_
_atom_site_label
_atom_site_fract_x
_atom_site_fract_y
_atom_site_fract_z
La1 0.000 0.000 0.000
In1 0.250 0.250 0.250
Rh1 0.128 0.624 0.624
Rh2 0.624 0.128 0.624
Rh3 0.624 0.624 0.128
Rh4 0.624 0.624 0.624

---

2.
# Re2Rh PBE optimized geometry
# Total magnetization ... 0.000 μB/atom
# ΔH_f (0 K) ... 0.563 eV/atom
data_Re2Rh
_cell_length_a 6.432
_cell_length_b 6.432
_cell_length_c 3.904
_cell_angle_alpha 90.00
_cell_angle_beta 90.00
_cell_angle_gamma 120.00
_symmetry_space_group_name_H-M 'P 1'
_symmetry_Int_Tables_number 1
loop_
_symmetry_equiv_pos_as_xyz
'x,y,z'
loop_
_atom_site_label
_atom_site_fract_x
_atom_site_fract_y
_atom_site_fract_z
Re1 0.000 0.253 0.000
Re2 0.000 0.584 0.500
Re3 0.253 0.000 0.000
Re4 0.416 0.416 0.500
Re5 0.584 0.000 0.500
Re6 0.747 0.747 0.000
Rh1 0.000 0.000 0.500
Rh2 0.333 0.667 0.000
Rh3 0.667 0.333 0.000

---

3.
# Tm2HRh PBE optimized geometry
# Total magnetization ... 0.000 μB/atom
# E_tot ... -5.2646 eV per atom
data_Tm2HRh
_cell_length_a 3.199
_cell_length_b 3.199
_cell_length_c 6.978
_cell_angle_alpha 90.00
_cell_angle_beta 90.00
_cell_angle_gamma 90.00
_symmetry_space_group_name_H-M 'P 1'
_symmetry_Int_Tables_number 1
loop_
_symmetry_equiv_pos_as_xyz
'x,y,z'
loop_
_atom_site_label
_atom_site_fract_x
_atom_site_fract_y
_atom_site_fract_z
Tm1 0.000 0.000 0.246
Tm2 0.000 0.000 0.754
H1 0.500 0.500 0.000
Rh1 0.500 0.500 0.500

---

4.
# Pr4NiPb2 PBE optimized geometry
# Total magnetization ... 0.000 μB/atom
# ΔH_f (0 K) ... -0.346 eV/atom
data_Pr4NiPb2
_cell_length_a 9.466
_cell_length_b 9.466
_cell_length_c 9.466
_cell_angle_alpha 148.65
_cell_angle_beta 148.65
_cell_angle_gamma 44.92
_symmetry_space_group_name_H-M 'P 1'
_symmetry_Int_Tables_number 1
loop_
_symmetry_equiv_pos_as_xyz
'x,y,z'
loop_
_atom_site_label
_atom_site_fract_x
_atom_site_fract_y
_atom_site_fract_z
Pr1 0.000 0.500 0.500
Pr2 0.176 0.176 0.000
Pr3 0.500 0.000 0.500
Pr4 0.824 0.824 0.000
Ni1 0.000 0.000 0.000
Pb1 0.362 0.362 0.000
Pb2 0.638 0.638 0.000

---

5.
# Sm2SeBr3 PBE optimized geometry
# Total magnetization ... 0.000 μB/atom
# Formation energy without anion corrections ... -10.4 eV/f.u.
data_Sm2SeBr3
_cell_length_a 8.883
_cell_length_b 8.883
_cell_length_c 12.752
_cell_angle_alpha 122.42
_cell_angle_beta 122.42
_cell_angle_gamma 28.31
_symmetry_space_group_name_H-M 'P 1'
_symmetry_Int_Tables_number 1
loop_
_symmetry_equiv_pos_as_xyz
'x,y,z'
loop_
_atom_site_label
_atom_site_fract_x
_atom_site_fract_y
_atom_site_fract_z
Sm1 0.101 0.101 0.443
Sm2 0.371 0.371 0.166
Sm3 0.629 0.629 0.834
Sm4 0.899 0.899 0.557
Se1 0.104 0.104 0.677
Se2 0.896 0.896 0.323
Br1 0.163 0.163 0.025
Br2 0.267 0.267 0.400
Br3 0.437 0.437 0.746
Br4 0.563 0.563 0.254
Br5 0.733 0.733 0.600
Br6 0.837 0.837 0.975

---

6.
# Ho2GaFe5B2 PBE optimized geometry
# Total magnetization ... 0.629 μB/atom
# ΔH_f (0 K) ... -0.216 eV/atom
data_Ho2GaFe5B2
_cell_length_a 8.962
_cell_length_b 8.962
_cell_length_c 3.171
_cell_angle_alpha 90.00
_cell_angle_beta 90.00
_cell_angle_gamma 90.00
_symmetry_space_group_name_H-M 'P 1'
_symmetry_Int_Tables_number 1
loop_
_symmetry_equiv_pos_as_xyz
'x,y,z'
loop_
_atom_site_label
_atom_site_fract_x
_atom_site_fract_y
_atom_site_fract_z
Ho1 0.178 0.322 0.000
Ho2 0.322 0.822 0.000
Ho3 0.678 0.178 0.000
Ho4 0.822 0.678 0.000
Ga1 0.000 0.000 0.000
Ga2 0.500 0.500 0.000
Fe1 0.000 0.500 0.500
Fe2 0.068 0.772 0.500
Fe3 0.228 0.068 0.500
Fe4 0.272 0.568 0.500
Fe5 0.432 0.272 0.500
Fe6 0.500 0.000 0.500
Fe7 0.568 0.728 0.500
Fe8 0.728 0.432 0.500
Fe9 0.772 0.932 0.500
Fe10 0.932 0.228 0.500
B1 0.118 0.618 0.000
B2 0.382 0.118 0.000
B3 0.618 0.882 0.000
B4 0.882 0.382 0.000

---

7.
# ErVSi2Tc PBE optimized geometry
# Total magnetization ... 0.000 μB/atom
# Formation energy without anion corrections ... -3.3 eV/f.u.
data_ErVSi2Tc
_cell_length_a 6.077
_cell_length_b 6.077
_cell_length_c 6.077
_cell_angle_alpha 142.37
_cell_angle_beta 142.37
_cell_angle_gamma 54.27
_symmetry_space_group_name_H-M 'P 1'
_symmetry_Int_Tables_number 1
loop_
_symmetry_equiv_pos_as_xyz
'x,y,z'
loop_
_atom_site_label
_atom_site_fract_x
_atom_site_fract_y
_atom_site_fract_z
Er1 0.000 0.000 0.000
V1 0.750 0.250 0.500
Si1 0.389 0.389 0.000
Si2 0.611 0.611 0.000
Tc1 0.250 0.750 0.500

---

8.
# Tb2PrHo PBE optimized geometry
# Total magnetization ... 0.001 μB/atom
# ΔH_f (0 K) ... 0.142 eV/atom
data_Tb2PrHo
_cell_length_a 5.719
_cell_length_b 5.719
_cell_length_c 5.719
_cell_angle_alpha 60.00
_cell_angle_beta 60.00
_cell_angle_gamma 60.00
_symmetry_space_group_name_H-M 'P 1'
_symmetry_Int_Tables_number 1
loop_
_symmetry_equiv_pos_as_xyz
'x,y,z'
loop_
_atom_site_label
_atom_site_fract_x
_atom_site_fract_y
_atom_site_fract_z
Tb1 0.250 0.250 0.250
Tb2 0.750 0.750 0.750
Pr1 0.000 0.000 0.000
Ho1 0.500 0.500 0.500

---

9.
# TaMn2Tc PBE optimized geometry
# Total magnetization ... 0.649 μB/atom
# ΔH_f (0 K) ... 0.118 eV/atom
data_TaMn2Tc
_cell_length_a 2.690
_cell_length_b 2.690
_cell_length_c 8.099
_cell_angle_alpha 90.00
_cell_angle_beta 90.00
_cell_angle_gamma 107.83
_symmetry_space_group_name_H-M 'P 1'
_symmetry_Int_Tables_number 1
loop_
_symmetry_equiv_pos_as_xyz
'x,y,z'
loop_
_atom_site_label
_atom_site_fract_x
_atom_site_fract_y
_atom_site_fract_z
Ta1 0.000 0.000 0.000
Mn1 0.000 0.000 0.475
Mn2 0.500 0.500 0.257
Tc1 0.500 0.500 0.719

---

10.
# LaDySb2O8 PBE optimized geometry
# Total magnetization ... 0.000 μB/atom
# Formation energy without anion corrections ... -27.9 eV/f.u.
data_LaDySb2O8
_cell_length_a 6.887
_cell_length_b 6.887
_cell_length_c 6.887
_cell_angle_alpha 134.19
_cell_angle_beta 134.19
_cell_angle_gamma 66.80
_symmetry_space_group_name_H-M 'P 1'
_symmetry_Int_Tables_number 1
loop_
_symmetry_equiv_pos_as_xyz
'x,y,z'
loop_
_atom_site_label
_atom_site_fract_x
_atom_site_fract_y
_atom_site_fract_z
La1 0.000 0.000 0.000
Dy1 0.250 0.750 0.500
Sb1 0.500 0.500 0.000
Sb2 0.750 0.250 0.500
O1 0.018 0.085 0.434
O2 0.243 0.662 0.086
O3 0.338 0.423 0.581
O4 0.416 0.982 0.067
O5 0.577 0.158 0.914
O6 0.651 0.584 0.566
O7 0.842 0.757 0.419
O8 0.915 0.349 0.933

---

11.
# KPuAgI6 PBE optimized geometry
# Total magnetization ... 0.440 μB/atom
# Formation energy without anion corrections ... -7.5 eV/f.u.
data_KPuAgI6
_cell_length_a 7.783
_cell_length_b 7.783
_cell_length_c 15.770
_cell_angle_alpha 90.00
_cell_angle_beta 90.00
_cell_angle_gamma 120.00
_symmetry_space_group_name_H-M 'P 1'
_symmetry_Int_Tables_number 1
loop_
_symmetry_equiv_pos_as_xyz
'x,y,z'
loop_
_atom_site_label
_atom_site_fract_x
_atom_site_fract_y
_atom_site_fract_z
K1 0.000 0.000 0.000
K2 0.000 0.000 0.500
Pu1 0.333 0.667 0.250
Pu2 0.667 0.333 0.750
Ag1 0.333 0.667 0.750
Ag2 0.667 0.333 0.250
I1 0.004 0.364 0.139
I2 0.004 0.640 0.361
I3 0.360 0.364 0.361
I4 0.360 0.996 0.139
I5 0.364 0.004 0.639
I6 0.364 0.360 0.861
I7 0.636 0.640 0.139
I8 0.636 0.996 0.361
I9 0.640 0.004 0.861
I10 0.640 0.636 0.639
I11 0.996 0.360 0.639
I12 0.996 0.636 0.861

---

12.
# GaBPt2 PBE optimized geometry
# Total magnetization ... 0.000 μB/atom
# ΔH_f (0 K) ... -0.113 eV/atom
data_GaBPt2
_cell_length_a 7.492
_cell_length_b 7.492
_cell_length_c 7.492
_cell_angle_alpha 24.61
_cell_angle_beta 24.61
_cell_angle_gamma 24.61
_symmetry_space_group_name_H-M 'P 1'
_symmetry_Int_Tables_number 1
loop_
_symmetry_equiv_pos_as_xyz
'x,y,z'
loop_
_atom_site_label
_atom_site_fract_x
_atom_site_fract_y
_atom_site_fract_z
Ga1 0.000 0.000 0.000
B1 0.500 0.500 0.500
Pt1 0.113 0.113 0.113
Pt2 0.887 0.887 0.887

---

> total magnetization of number 6 (Ho2GaFe5B2)?

0.629 μB/atom

---

> What is the formula in the ninth record?

TaMn2Tc